1.
First-principles (PBE) data for a relaxed structure of Sc3NiSn2, as listed in Alexandria.

The structure in POSCAR format:
```
Sc3NiSn2
1.0
11.4239 0.0000 0.0000
0.0000 4.3579 0.0000
0.0000 0.0000 10.3230
Sc Ni Sn
12 4 8
Direct
0.0553 0.2500 0.1428
0.1436 0.7500 0.5702
0.2373 0.2500 0.8000
0.2627 0.7500 0.3000
0.3564 0.2500 0.0702
0.4447 0.7500 0.6428
0.5553 0.2500 0.3572
0.6436 0.7500 0.9298
0.7373 0.2500 0.7000
0.7627 0.7500 0.2000
0.8564 0.2500 0.4298
0.9447 0.7500 0.8572
0.1127 0.2500 0.3980
0.3873 0.7500 0.8980
0.6127 0.2500 0.1020
0.8873 0.7500 0.6020
0.0009 0.2500 0.6706
0.1784 0.7500 0.0026
0.3216 0.2500 0.5026
0.4991 0.7500 0.1706
0.5009 0.2500 0.8294
0.6784 0.7500 0.4974
0.8216 0.2500 0.9974
0.9991 0.7500 0.3294
```

Calculated values
Total magnetic moment in Bohr magnetons per cell: 0.00
Theoretical density in kg/m3: 5570
Formation energy from the elements in kJ per mole of atoms: -59
Raw total energy in Ry per atom: -0.4468



2.
First-principles (PBE) data for a relaxed structure of ScNiSn2, as listed in Alexandria.

The structure in POSCAR format:
```
ScNiSn2
1.0
-2.2021 2.2021 9.3443
2.2021 -2.2021 9.3443
2.2021 2.2021 -9.3443
Sc Ni Sn
2 2 4
Direct
0.0000 0.0000 0.0000
0.7500 0.2500 0.5000
0.2500 0.7500 0.5000
0.5000 0.5000 0.0000
0.1619 0.6250 0.0369
0.3750 0.4119 0.5369
0.5881 0.1250 0.9631
0.8750 0.8381 0.4631
```

Calculated values
Total magnetic moment in Bohr magnetons per cell: 0.00
Theoretical density in kg/m3: 6249
Formation energy from the elements in kJ per mole of atoms: -3
Raw total energy in Ry per atom: -0.3716



3.
First-principles (PBE) data for a relaxed structure of Sc2NiSn, as listed in Alexandria.

The structure in POSCAR format:
```
Sc2NiSn
1.0
-3.7142 3.7142 3.0404
3.7142 -3.7142 3.0404
3.7142 3.7142 -3.0404
Sc Ni Sn
4 2 2
Direct
0.0727 0.6250 0.9477
0.3750 0.3227 0.4477
0.6773 0.1250 0.0523
0.8750 0.9273 0.5523
0.0000 0.0000 0.0000
0.7500 0.2500 0.5000
0.2500 0.7500 0.5000
0.5000 0.5000 0.0000
```

Calculated values
Total magnetic moment in Bohr magnetons per cell: 0.00
Theoretical density in kg/m3: 5291
Formation energy from the elements in kJ per mole of atoms: -21
Raw total energy in Ry per atom: -0.4283



4.
First-principles (PBE) data for a relaxed structure of Sc4Ni2Sn, as listed in Alexandria.

The structure in POSCAR format:
```
Sc4Ni2Sn
1.0
2.2062 1.2737 8.8211
-2.2062 1.2737 8.8211
0.0000 -2.5475 8.8211
Sc Ni Sn
4 2 1
Direct
0.1101 0.1101 0.1101
0.2997 0.2997 0.2997
0.7003 0.7003 0.7003
0.8899 0.8899 0.8899
0.4003 0.4003 0.4003
0.5997 0.5997 0.5997
0.5000 0.5000 0.5000
```

Calculated values
Total magnetic moment in Bohr magnetons per cell: 0.00
Theoretical density in kg/m3: 4644
Formation energy from the elements in kJ per mole of atoms: -29
Raw total energy in Ry per atom: -0.4514
Polymorph energy (0 for the lowest one) in eV per formula unit: 0.97